[1]
The following is a DFT calculation (PBEsol) of a geometry-optimized LiCd2Au structure.

Lattice parameters (Å, degrees): 3.310 3.310 6.429 90.00 90.00 90.00
Atoms (fractional coordinates):
Cd  0.000  0.000  0.981
Cd  0.500  0.500  0.275
Li  0.000  0.000  0.525
Au  0.500  0.500  0.720

Spin magnetization in μB/cell: 0.00
Space-group type: P4mm (99)
Energy relative to the lowest polymorph listed for this composition in meV per atom: 79



[2]
The following is a DFT calculation (PBEsol) of a geometry-optimized Li2Cd2Au structure.

Lattice parameters (Å, degrees): 3.569 3.569 7.698 103.40 103.40 90.00
Atoms (fractional coordinates):
Cd  0.398  0.398  0.797
Cd  0.602  0.602  0.203
Au  0.000  0.000  0.000
Li  0.750  0.250  0.500
Li  0.250  0.750  0.500

Spin magnetization in μB/cell: 0.00
E in eV/atom: -2.125
Space-group type: I4/mmm (139)



[3]
The following is a DFT calculation (PBEsol) of a geometry-optimized LiCdAu2 structure.

Lattice parameters (Å, degrees): 4.103 4.103 4.905 114.73 114.73 90.00
Atoms (fractional coordinates):
Li  0.500  0.500  0.000
Au  0.250  0.750  0.500
Au  0.750  0.250  0.500
Cd  0.000  0.000  0.000

Spin magnetization in μB/cell: 0.00
E in eV/atom: -3.131
Space-group type: I4/mmm (139)



[4]
The following is a DFT calculation (PBEsol) of a geometry-optimized LiCdAu2 structure.

Lattice parameters (Å, degrees): 4.049 4.049 4.975 114.02 114.02 90.00
Atoms (fractional coordinates):
Au  0.000  0.000  0.000
Au  0.750  0.250  0.500
Li  0.250  0.750  0.500
Cd  0.500  0.500  0.000

Spin magnetization in μB/cell: 0.00
E in eV/atom: -3.141
Space-group type: I-4m2 (119)